1.
A relaxed CeAlZn6Ag crystal, computed with GGA-PBE.

Cell: 5.2650 9.9895 8.9215 Å, 124.05 107.16 90.00°
With the nearest neighbours (Å) after each atom.
Fractional positions:
Ce (0.1982, 0.4482, 0.3964)  2 Ce 3.00, 7 Zn 3.08-3.27
Zn (0.4012, 0.1326, 0.3127)  1 Ag 2.55, 3 Zn 2.58-2.69, 1 Al 2.60
Al (0.5000, 0.0000, 0.5000)  4 Zn 2.60, 2 Al 2.63
Zn (0.5988, 0.8674, 0.6873)  1 Ag 2.55, 3 Zn 2.58-2.69, 1 Al 2.60
Ag (0.5000, 0.5000, 0.0000)  6 Zn 2.55-2.66
Zn (0.9531, 0.2031, 0.9062)  6 Zn 3.01-3.06, 2 Al 3.10
Zn (0.0885, 0.8674, 0.6873)  1 Ag 2.55, 3 Zn 2.58-2.69, 1 Al 2.60
Zn (0.5654, 0.3154, 0.1307)  2 Ag 2.66
Zn (0.0469, 0.7969, 0.0938)  6 Zn 3.01-3.06, 2 Al 3.10
Ce (0.8018, 0.5518, 0.6036)  2 Ce 3.00, 7 Zn 3.08-3.27
Zn (0.9115, 0.1326, 0.3127)  1 Ag 2.55, 3 Zn 2.58-2.69, 1 Al 2.60
Zn (0.0885, 0.3199, 0.6873)  1 Ag 2.55, 3 Zn 2.58-2.69, 1 Al 2.60
Zn (0.9115, 0.6801, 0.3127)  1 Ag 2.55, 3 Zn 2.58-2.69, 1 Al 2.60
Ag (0.5000, 0.0000, 0.0000)  6 Zn 2.55-2.66
Zn (0.4012, 0.6801, 0.3127)  1 Ag 2.55, 3 Zn 2.58-2.69, 1 Al 2.60
Al (0.0000, 0.0000, 0.5000)  4 Zn 2.60, 2 Al 2.63
Zn (0.4346, 0.6846, 0.8693)  2 Ag 2.66
Zn (0.5988, 0.3199, 0.6873)  1 Ag 2.55, 3 Zn 2.58-2.69, 1 Al 2.60

Summary:
The energy of formation from the pure elements is 185 meV per atom. The raw total energy comes out at -0.076 hartree per atom.

2.
A relaxed Ce2Al4ZnAg3 crystal, computed with GGA-PBE.

Cell: 4.3742 4.3742 10.7326 Å, 90.00 90.00 90.00°
With the nearest neighbours (Å) after each atom.
Fractional positions:
Al (0.0000, 0.0000, 0.0000)  4 Ag 2.61
Al (0.0000, 0.5000, 0.3676)  3 Ag 2.52-2.61, 2 Zn 2.61
Ag (0.0000, 0.0000, 0.5000)  4 Al 2.61
Ce (0.5000, 0.0000, 0.2558)  8 Al 3.32-3.51, 6 Ag 3.36-3.41, 2 Zn 3.41
Ag (0.0000, 0.5000, 0.1328)  5 Al 2.52-2.61
Al (0.5000, 0.5000, 0.0000)  4 Ag 2.61
Ag (0.5000, 0.0000, 0.8672)  5 Al 2.52-2.61
Zn (0.5000, 0.5000, 0.5000)  4 Al 2.61
Ce (0.0000, 0.5000, 0.7442)  8 Al 3.32-3.51, 6 Ag 3.36-3.41, 2 Zn 3.41
Al (0.5000, 0.0000, 0.6324)  3 Ag 2.52-2.61, 2 Zn 2.61

Summary:
The energy of formation from the pure elements is -289 meV per atom. The raw total energy comes out at -0.145 hartree per atom.

- Among the records above, which one has the highest energy of formation from the pure elements?
  CeAlZn6Ag